The following is a PBE-GGA calculation of LiThCu2H6 after structural relaxation, from the Alexandria database.

## Properties
- Mass density: 6.98 g/cm3
- Raw total energy: -39.61 eV per cell
- Symmetry: R-3m, No. 166

Cell: 4.4392 4.4392 5.7890 Å, 67.45 67.45 60.00°
Fractional positions:
H  0.5555  0.5555  0.7994
H  0.0896  0.5555  0.7994
Li  0.5000  0.5000  0.5000
H  0.4445  0.9104  0.2006
H  0.4445  0.4445  0.2006
Th  0.0000  0.0000  0.0000
Cu  0.2105  0.2105  0.3684
H  0.9104  0.4445  0.2006
H  0.5555  0.0896  0.7994
Cu  0.7895  0.7895  0.6316

***

The following is a PBE-GGA calculation of Tl3I3Br after structural relaxation, from the Alexandria database.

## Properties
- Mass density: 5.50 g/cm3
- Symmetry: P-1, No. 2
- E_form (uncorrected): -0.56 eV per atom

Cell: 9.1748 9.1765 8.7358 Å, 93.40 93.52 117.34°
Fractional positions:
Br  0.1846  0.1847  0.1332
Tl  0.4605  0.0854  0.2583
I  0.7434  0.2563  0.0001
Tl  0.8982  0.8987  0.2402
I  0.6065  0.6068  0.3995
I  0.1592  0.8404  0.4998
Tl  0.5395  0.9146  0.7417
I  0.8408  0.1596  0.5002
Br  0.8154  0.8153  0.8668
Tl  0.1018  0.1013  0.7598
Tl  0.0857  0.4607  0.2583
Tl  0.9143  0.5393  0.7417
I  0.3935  0.3932  0.6005
I  0.2566  0.7437  0.9999

***

The following is a PBE-GGA calculation of NaSrPb4 after structural relaxation, from the Alexandria database.

## Properties
- Mass density: 8.00 g/cm3
- Offset from the most stable computed form: 17 meV/atom
- Energy of formation from the pure elements: -0.2010 eV per atom
- Symmetry: P-1, No. 2

Cell: 5.8655 5.8190 6.4408 Å, 63.43 86.49 82.50°
Fractional positions:
Pb  0.0012  0.1851  0.1289
Sr  0.0013  0.5020  0.4955
Pb  0.5017  0.6825  0.1342
Pb  0.5009  0.3205  0.8567
Pb  0.0013  0.8191  0.8620
Na  0.5013  0.0019  0.4952

***

The following is a PBE-GGA calculation of Ho2ZrSc4 after structural relaxation, from the Alexandria database.

## Properties
- Mass density: 4.83 g/cm3
- Offset from the most stable computed form: 543 meV/atom
- Energy of formation from the pure elements: 0.5723 eV per atom
- Symmetry: I4/mmm, No. 139

Cell: 5.0220 5.0220 8.9290 Å, 106.33 106.33 90.00°
Fractional positions:
Ho  0.6287  0.6287  0.2574
Ho  0.3713  0.3713  0.7426
Sc  0.5000  0.0000  0.0000
Zr  0.0000  0.0000  0.0000
Sc  0.8273  0.8273  0.6546
Sc  0.1727  0.1727  0.3454
Sc  0.0000  0.5000  0.0000

***

The following is a PBE-GGA calculation of ZrTaTe2 after structural relaxation, from the Alexandria database.

## Properties
- Mass density: 7.99 g/cm3
- Offset from the most stable computed form: 715 meV/atom
- Symmetry: I-42d, No. 122
- E_form (uncorrected): 0.30 eV per atom

Cell: 4.9885 4.9885 9.4909 Å, 74.76 74.76 90.00°
Fractional positions:
Zr  0.2500  0.7500  0.5000
Ta  0.0000  0.0000  0.0000
Zr  0.5000  0.5000  0.0000
Te  0.1037  0.6250  0.2500
Te  0.8750  0.8963  0.7500
Ta  0.7500  0.2500  0.5000
Te  0.3750  0.3537  0.7500
Te  0.6463  0.1250  0.2500

***

The following is a PBE-GGA calculation of SmTh2PN5 after structural relaxation, from the Alexandria database.

## Properties
- Mass density: 9.31 g/cm3
- Symmetry: P4/mbm, No. 127
- E_form (uncorrected): -1.02 eV per atom

Cell: 5.6198 6.7378 6.7378 Å, 90.00 90.00 90.00°
Fractional positions:
N  0.7794  0.6312  0.8688
P  0.0000  0.0000  0.5000
Sm  0.0000  0.5000  0.5000
N  0.2206  0.8688  0.3688
Th  0.5000  0.6790  0.1790
N  0.7794  0.1312  0.6312
N  0.7794  0.8688  0.3688
N  0.2206  0.1312  0.6312
Th  0.5000  0.1790  0.3210
N  0.5000  0.5000  0.5000
N  0.7794  0.3688  0.1312
N  0.2206  0.6312  0.8688
P  0.0000  0.5000  0.0000
N  0.5000  0.0000  0.0000
Sm  0.0000  0.0000  0.0000
N  0.2206  0.3688  0.1312
Th  0.5000  0.8210  0.6790
Th  0.5000  0.3210  0.8210

***

The following is a PBE-GGA calculation of Pr2HoTm3As6 after structural relaxation, from the Alexandria database.

## Properties
- Mass density: 7.66 g/cm3
- Energy of formation from the pure elements: -1.4913 eV per atom
- Symmetry: C2/m, No. 12

Cell: 4.1565 8.3028 9.2829 Å, 102.86 102.94 90.00°
Fractional positions:
Pr  0.8345  0.6683  0.6690
As  0.3333  0.9272  0.6667
Pr  0.1655  0.3317  0.3310
Ho  0.5000  0.0000  0.0000
Tm  0.5000  0.5000  0.0000
As  0.9961  0.2492  0.9921
Tm  0.8327  0.1658  0.6654
As  0.0039  0.7508  0.0079
As  0.6667  0.0728  0.3333
As  0.6634  0.5918  0.3267
As  0.3366  0.4082  0.6733
Tm  0.1673  0.8342  0.3346

***

The following is a PBE-GGA calculation of Er2ThSc3S6 after structural relaxation, from the Alexandria database.

## Properties
- Mass density: 6.29 g/cm3
- Symmetry: C2/m, No. 12
- E_form (uncorrected): -1.87 eV per atom

Cell: 3.8044 7.6650 8.5286 Å, 102.98 102.89 90.00°
Fractional positions:
S  0.6755  0.0805  0.3509
Sc  0.1630  0.8362  0.3259
Th  0.5000  0.0000  0.0000
Sc  0.8370  0.1638  0.6741
S  0.3344  0.4098  0.6687
S  0.3245  0.9195  0.6491
S  0.0025  0.7290  0.0050
Sc  0.5000  0.5000  0.0000
S  0.6656  0.5902  0.3313
S  0.9975  0.2710  0.9950
Er  0.8354  0.6702  0.6709
Er  0.1646  0.3298  0.3291

***

The following is a PBE-GGA calculation of MgBi after structural relaxation, from the Alexandria database.

## Properties
- Mass density: 6.81 g/cm3
- Energy of formation from the pure elements: -0.0432 eV per atom
- Symmetry: P4_2/mnm, No. 136

Cell: 6.0995 6.0995 6.1180 Å, 90.00 90.00 90.00°
Fractional positions:
Mg  0.7073  0.7073  0.5000
Mg  0.7927  0.2073  0.0000
Bi  0.7932  0.2068  0.5000
Mg  0.2927  0.2927  0.5000
Bi  0.7068  0.7068  0.0000
Bi  0.2932  0.2932  0.0000
Bi  0.2068  0.7932  0.5000
Mg  0.2073  0.7927  0.0000

***

The following is a PBE-GGA calculation of Rb3NaCu2F6 after structural relaxation, from the Alexandria database.

## Properties
- Mass density: 3.36 g/cm3
- Symmetry: P-3m1, No. 164
- E_form (uncorrected): -2.04 eV per atom

Cell: 6.4179 6.4179 7.2052 Å, 90.00 90.00 120.00°
Last column: magnetic moment on the atom in μB.
Fractional positions:
Rb  0.0000  0.0000  0.0000  0.00
Rb  0.6667  0.3333  0.3113  0.00
Rb  0.3333  0.6667  0.6887  0.00
Cu  0.3333  0.6667  0.2504  0.10
F  0.6797  0.8398  0.2922  0.00
F  0.1602  0.8398  0.2922  0.00
F  0.8398  0.1602  0.7078  0.00
F  0.8398  0.6797  0.7078  0.00
F  0.3203  0.1602  0.7078  0.00
Na  0.0000  0.0000  0.5000  0.00
F  0.1602  0.3203  0.2922  0.00
Cu  0.6667  0.3333  0.7496  0.10

***

The following is a PBE-GGA calculation of Cu2HPt after structural relaxation, from the Alexandria database.

## Properties
- Mass density: 12.02 g/cm3
- Offset from the most stable computed form: 255 meV/atom
- Symmetry: P4/mmm, No. 123

Cell: 2.6529 2.6529 6.3446 Å, 90.00 90.00 90.00°
Fractional positions:
Cu  0.0000  0.0000  0.1918
H  0.5000  0.5000  0.0000
Pt  0.5000  0.5000  0.5000
Cu  0.0000  0.0000  0.8082

***

The following is a PBE-GGA calculation of Tm2AlCu4Si3 after structural relaxation, from the Alexandria database.

## Properties
- Mass density: 7.40 g/cm3
- Symmetry: P-4m2, No. 115
- E_form (uncorrected): -0.53 eV per atom

Cell: 3.9467 3.9467 10.1339 Å, 90.00 90.00 90.00°
Fractional positions:
Al  0.5000  0.5000  0.5000
Si  0.0000  0.0000  0.5000
Cu  0.5000  0.5000  0.0000
Cu  0.5000  0.0000  0.6408
Si  0.5000  0.0000  0.8679
Cu  0.0000  0.0000  0.0000
Cu  0.0000  0.5000  0.3592
Tm  0.5000  0.0000  0.2392
Si  0.0000  0.5000  0.1321
Tm  0.0000  0.5000  0.7608

***

The following is a PBE-GGA calculation of Mg3Cd4Sn after structural relaxation, from the Alexandria database.

## Properties
- Mass density: 5.67 g/cm3
- Energy of formation from the pure elements: -0.0113 eV per atom
- Symmetry: P-1, No. 2

Cell: 3.2372 4.7644 12.4948 Å, 79.31 83.16 90.18°
Fractional positions:
Cd  0.1017  0.6136  0.7921
Mg  0.5000  0.5000  0.0000
Cd  0.8983  0.3864  0.2079
Cd  0.7739  0.2744  0.4486
Mg  0.3523  0.8429  0.2988
Sn  0.0000  0.0000  0.0000
Cd  0.2261  0.7256  0.5514
Mg  0.6477  0.1571  0.7012

***

The following is a PBE-GGA calculation of La7Tl2In2 after structural relaxation, from the Alexandria database.

## Properties
- Mass density: 6.80 g/cm3
- Energy of formation from the pure elements: -0.1473 eV per atom
- Symmetry: Cmmm, No. 65

Cell: 7.2679 7.8608 7.2679 Å, 90.00 108.80 90.00°
Fractional positions:
In  0.1664  0.5000  0.1664
La  0.5003  0.6965  0.9998
La  0.5002  0.7318  0.4998
Tl  0.2863  0.0000  0.7137
La  0.4998  0.2682  0.5002
La  0.4997  0.3035  0.0002
La  0.9998  0.3035  0.5003
In  0.8336  0.5000  0.8336
La  0.0002  0.6965  0.4997
La  0.0000  0.0000  0.0000
Tl  0.7137  0.0000  0.2863

***

The following is a PBE-GGA calculation of TaMo2Ir after structural relaxation, from the Alexandria database.

## Properties
- Mass density: 14.46 g/cm3
- Offset from the most stable computed form: 47 meV/atom
- Energy of formation from the pure elements: -0.1066 eV per atom
- Symmetry: P4mm, No. 99

Cell: 2.7619 2.7619 8.5071 Å, 90.00 90.00 90.00°
Fractional positions:
Ta  0.0000  0.0000  0.5160
Mo  0.5000  0.5000  0.2447
Ir  0.5000  0.5000  0.7599
Mo  0.0000  0.0000  0.9794

***

The following is a PBE-GGA calculation of PmZn2Hg2 after structural relaxation, from the Alexandria database.

## Properties
- Mass density: 10.03 g/cm3
- Offset from the most stable computed form: 18 meV/atom
- Energy of formation from the pure elements: -0.2302 eV per atom
- Symmetry: C2/m, No. 12

Cell: 4.2539 4.2539 6.8483 Å, 107.53 107.53 90.11°
Fractional positions:
Pm  0.0000  0.0000  0.5000
Zn  0.7585  0.2415  0.0000
Hg  0.6082  0.6082  0.7290
Hg  0.3918  0.3918  0.2710
Zn  0.2415  0.7585  0.0000

***

The following is a PBE-GGA calculation of NdSm2Pt after structural relaxation, from the Alexandria database.

## Properties
- Mass density: 9.15 g/cm3
- Offset from the most stable computed form: 87 meV/atom
- Energy of formation from the pure elements: -0.5248 eV per atom
- Symmetry: P4/mmm, No. 123

Cell: 3.6426 3.6426 8.7564 Å, 90.00 90.00 90.00°
Fractional positions:
Nd  0.5000  0.5000  0.5000
Sm  0.0000  0.0000  0.1908
Pt  0.5000  0.5000  0.0000
Sm  0.0000  0.0000  0.8092

***

The following is a PBE-GGA calculation of CoRu2 after structural relaxation, from the Alexandria database.

## Properties
- Mass density: 11.04 g/cm3
- Energy of formation from the pure elements: 0.1846 eV per atom
- Symmetry: P-3m1, No. 164

Cell: 2.6649 2.6649 6.3849 Å, 90.00 90.00 120.00°
Last column: magnetic moment on the atom in μB.
Fractional positions:
Co  0.0000  0.0000  0.0000  1.36
Ru  0.6667  0.3333  0.6709  0.08
Ru  0.3333  0.6667  0.3291  0.08

***

The following is a PBE-GGA calculation of Al4Cd after structural relaxation, from the Alexandria database.

## Properties
- Mass density: 4.05 g/cm3
- Offset from the most stable computed form: 0 meV/atom
- Energy of formation from the pure elements: 0.1108 eV per atom
- Symmetry: I4/m, No. 87

Cell: 5.0780 5.0780 5.0780 Å, 100.06 100.06 130.59°
Fractional positions:
Al  0.5956  0.8067  0.4022
Al  0.4044  0.1933  0.5978
Al  0.8067  0.4044  0.2111
Al  0.1933  0.5956  0.7889
Cd  0.0000  0.0000  0.0000

***

The following is a PBE-GGA calculation of La2ThZn6 after structural relaxation, from the Alexandria database.

## Properties
- Mass density: 7.44 g/cm3
- Energy of formation from the pure elements: -0.3216 eV per atom
- Symmetry: P6/mmm, No. 191

Cell: 3.6053 8.0316 8.0316 Å, 120.00 90.00 90.00°
Fractional positions:
La  0.0000  0.3333  0.6667
Zn  0.5000  0.6689  0.6689
Zn  0.5000  0.3311  0.0000
Zn  0.5000  0.0000  0.6689
Zn  0.5000  0.0000  0.3311
Zn  0.5000  0.3311  0.3311
Th  0.0000  0.0000  0.0000
La  0.0000  0.6667  0.3333
Zn  0.5000  0.6689  0.0000